(i)
The following is a DFT calculation (PBE+U) of FePd2O2 after structural relaxation.

Cell lengths 4.4611, 4.4611, 7.3909 Å; angles 90.00, 90.00, 90.00 degrees
Space group I4/mmm (No. 139)
Unique sites:
Fe 0.0000 0.0000 0.0000 (multiplicity 2)
Pd 0.0000 0.5000 0.2500 (multiplicity 4)
O 0.0000 0.0000 0.2581 (multiplicity 4)

Computed properties:
Total magnetization   7.56 Bohr magnetons per cell

***

(ii)
The following is a DFT calculation (PBE+U) of FePd2O2 after structural relaxation.

Cell lengths 5.6089, 5.6089, 4.1010 Å; angles 90.00, 90.00, 90.00 degrees
Space group P4/mbm (No. 127)
Unique sites:
Fe 0.0000 0.0000 0.0000 (multiplicity 2)
Pd 0.1702 0.3298 0.5000 (multiplicity 4)
O 0.2022 0.2978 0.0000 (multiplicity 4)

Computed properties:
Total magnetization   8.26 Bohr magnetons per cell

***

If you had to name the least stable structure above, which would it be? It would be (i).